Record 1
DFT (PBE-GGA) results for crystalline La2Pr6YHo at its relaxed geometry.

abc: 10.1448 9.0042 9.0042
angles: 118.11 95.12 95.12
Closest atoms and distances in Å follow each position.
Element x y z (fractional)
1 Pr 0.8100 0.4196 0.9821  5 Pr 3.41-3.82, 1 La 3.49, 1 Ho 3.51, 1 Y 3.66
2 Y 0.2500 0.9859 0.0141  4 La 3.44-3.50, 4 Pr 3.66-3.70
3 La 0.9585 0.7060 0.8060  5 Pr 3.30-3.60, 2 Y 3.44-3.50, 1 Ho 3.65
4 Y 0.7500 0.0141 0.9859  4 La 3.44-3.50, 4 Pr 3.66-3.70
5 Pr 0.1900 0.5804 0.0179  5 Pr 3.41-3.82, 1 La 3.49, 1 Ho 3.51, 1 Y 3.66
6 Pr 0.6900 0.0179 0.5804  5 Pr 3.41-3.82, 1 La 3.49, 1 Ho 3.51, 1 Y 3.66
7 Pr 0.0549 0.1238 0.7458  7 Pr 3.51-3.92, 1 La 3.60, 1 Y 3.70, 1 Ho 3.88
8 Pr 0.5549 0.7458 0.1238  7 Pr 3.51-3.92, 1 La 3.60, 1 Y 3.70, 1 Ho 3.88
9 La 0.0415 0.2940 0.1940  5 Pr 3.30-3.60, 2 Y 3.44-3.50, 1 Ho 3.65
10 La 0.5415 0.1940 0.2940  5 Pr 3.30-3.60, 2 Y 3.44-3.50, 1 Ho 3.65
11 Ho 0.7500 0.5947 0.4053  8 Pr 3.50-3.88, 2 La 3.65
12 Pr 0.3100 0.9821 0.4196  5 Pr 3.41-3.82, 1 La 3.49, 1 Ho 3.51, 1 Y 3.66
13 Pr 0.1210 0.7061 0.5045  3 La 3.30-3.55, 4 Pr 3.41-3.69, 1 Ho 3.50
14 La 0.4585 0.8060 0.7060  5 Pr 3.30-3.60, 2 Y 3.44-3.50, 1 Ho 3.65
15 Pr 0.6210 0.5045 0.7061  3 La 3.30-3.55, 4 Pr 3.41-3.69, 1 Ho 3.50
16 Pr 0.9451 0.8762 0.2542  7 Pr 3.51-3.92, 1 La 3.60, 1 Y 3.70, 1 Ho 3.88
17 Pr 0.3790 0.4955 0.2939  3 La 3.30-3.55, 4 Pr 3.41-3.69, 1 Ho 3.50
18 Pr 0.4451 0.2542 0.8762  7 Pr 3.51-3.92, 1 La 3.60, 1 Y 3.70, 1 Ho 3.88
19 Ho 0.2500 0.4053 0.5947  8 Pr 3.50-3.88, 2 La 3.65
20 Pr 0.8790 0.2939 0.4955  3 La 3.30-3.55, 4 Pr 3.41-3.69, 1 Ho 3.50

Summary:
For the total energy, the calculation gives -97.0 eV/cell. Its symmetry is C2/c. The value obtained for the formation energy is 109 meV/atom.


Record 2
DFT (PBE-GGA) results for crystalline TaS at its relaxed geometry.

abc: 6.1148 4.6947 10.1221
angles: 90.00 90.00 90.00
Closest atoms and distances in Å follow each position.
Element x y z (fractional)
1 Ta 0.2833 0.5801 0.5194  5 S 2.44-2.62
2 S 0.3520 0.9282 0.0491  4 Ta 2.44-2.54
3 S 0.6480 0.4282 0.4509  4 Ta 2.44-2.54
4 Ta 0.6428 0.5341 0.6872  4 S 2.44-2.47
5 S 0.7644 0.9682 0.2325  5 Ta 2.45-2.62
6 Ta 0.7833 0.9199 0.4806  5 S 2.44-2.62
7 Ta 0.3572 0.0341 0.8128  4 S 2.44-2.47
8 S 0.7356 0.0318 0.7325  5 Ta 2.45-2.62
9 S 0.1480 0.0718 0.5491  4 Ta 2.44-2.54
10 Ta 0.8572 0.4659 0.1872  4 S 2.44-2.47
11 Ta 0.2167 0.4199 0.0194  5 S 2.44-2.62
12 S 0.2356 0.4682 0.2675  5 Ta 2.45-2.62
13 S 0.8520 0.5718 0.9509  4 Ta 2.44-2.54
14 S 0.2644 0.5318 0.7675  5 Ta 2.45-2.62
15 Ta 0.7167 0.0801 0.9806  5 S 2.44-2.62
16 Ta 0.1428 0.9659 0.3128  4 S 2.44-2.47

Summary:
For the total energy, the calculation gives -135.4 eV/cell. The uncorrected formation energy comes out at -0.475 eV/atom. Its symmetry is P2_12_12_1.


Record 3
DFT (PBE-GGA) results for crystalline VInCu2H at its relaxed geometry.

abc: 3.9721 3.9721 3.8658
angles: 90.00 90.00 90.00
Closest atoms and distances in Å follow each position.
Element x y z (fractional)
1 H 0.0000 0.0000 0.0000  2 V 1.93, 4 Cu 1.99
2 Cu 0.0000 0.5000 0.0000  2 H 1.99
3 In 0.5000 0.5000 0.5000  8 Cu 2.77, 4 V 2.81
4 Cu 0.5000 0.0000 0.0000  2 H 1.99
5 V 0.0000 0.0000 0.5000  2 H 1.93

Summary:
For the total energy, the calculation gives -22.9 eV/cell. Its symmetry is P4/mmm.


Record 4
DFT (PBE-GGA) results for crystalline ScTl2Te at its relaxed geometry.

abc: 3.7627 3.7915 8.7744
angles: 65.59 90.00 90.00
Closest atoms and distances in Å follow each position.
Element x y z (fractional)
1 Tl 0.0000 0.0015 0.0086  8 Tl 3.39-3.79, 4 Te 3.70-3.71
2 Sc 0.0000 0.4604 0.5284  4 Te 2.95-2.96, 2 Tl 3.29
3 Tl 0.5000 0.2327 0.2753  4 Sc 3.29-3.42, 1 Te 3.30, 4 Tl 3.39-3.45
4 Te 0.5000 0.8054 0.6877  4 Sc 2.95-2.96, 1 Tl 3.30

Summary:
For the total energy, the calculation gives -15.9 eV/cell. The uncorrected formation energy comes out at -0.420 eV/atom. Its symmetry is Pm.


Record 5
DFT (PBE-GGA) results for crystalline Ba3Mg2In4Ag2 at its relaxed geometry.

abc: 4.9598 4.9598 17.5042
angles: 90.00 90.00 120.00
Closest atoms and distances in Å follow each position.
Element x y z (fractional)
1 Ba 0.0000 0.0000 0.7350  6 In 3.64-3.69, 3 Ag 3.68
2 In 0.6667 0.3333 0.1318  3 Ag 2.86
3 In 0.6667 0.3333 0.6070  4 Mg 2.93-2.98
4 Ba 0.0000 0.0000 0.0000  6 In 3.68, 6 Ag 3.69
5 Mg 0.3333 0.6667 0.5605  4 In 2.93-2.98
6 Ba 0.0000 0.0000 0.2650  6 In 3.64-3.69, 3 Ag 3.68
7 Ag 0.3333 0.6667 0.1326  3 In 2.86
8 Ag 0.6667 0.3333 0.8674  3 In 2.86
9 In 0.3333 0.6667 0.3930  4 Mg 2.93-2.98
10 In 0.3333 0.6667 0.8682  3 Ag 2.86
11 Mg 0.6667 0.3333 0.4395  4 In 2.93-2.98

Summary:
For the total energy, the calculation gives -27.8 eV/cell. Its symmetry is P-3m1. The value obtained for the formation energy is -197 meV/atom.


What did we get for DOS at the Fermi energy? Answer: 15.73; 0.53; 2.31; 2.48; 9.84 states/eV/f.u., in the order shown.
What did we get for size of the total moment? Answer: 0.0; 0.0; 0.0; 0.0; 0.0 Bohr magnetons per cell, in the order shown.